[1]
VASP calculation (GGA-PBEsol) on CrAgRu after structural relaxation.

abc: 4.071 4.071 4.071
angles: 60.00 60.00 60.00
Site moments in Bohr magnetons follow the coordinates.
Sites, in units of the cell vectors:
Ag: 0.500 0.500 0.500  0.10
Ru: 0.000 0.000 0.000  -0.51
Cr: 0.250 0.250 0.250  1.95

Properties
SG   F-43m, No. 216
Raw total energy   -7.023 eV/atom
Formation energy   0.89 eV per atom
Spin magnetization   1.59 μB per formula unit

***

[2]
VASP calculation (GGA-PBEsol) on ReAsIr2 after structural relaxation.

abc: 3.857 3.857 4.739
angles: 114.01 114.01 90.00
Sites, in units of the cell vectors:
Ir: 0.250 0.750 0.500
Ir: 0.750 0.250 0.500
As: 0.000 0.000 0.000
Re: 0.500 0.500 0.000

Properties
SG   I4/mmm, No. 139
Raw total energy   -9.242 eV/atom
Formation energy   0.28 eV per atom
Spin magnetization   0.00 μB per formula unit

***

Q: Number 2 is which compound?
A: ReAsIr2

***

Q: The highest raw total energy belongs to which entry?
A: CrAgRu